# 1
## LiS (PBE)

Data for a relaxed structure of LiS.

a b c (Å): 4.2015 4.2015 4.9222
angles (deg): 90.00 90.00 120.00
Space group P6_3/mmc (No. 194)
Unique sites:
Li  0.3333  0.6667  0.2500 x2
S  0.3333  0.6667  0.7500 x2

## Properties
The value obtained for the energy above the most stable polymorph in this dataset is 419 meV per atom. As for the uncorrected formation energy: -0.4797 eV/atom.



# 2
## AcSn3Rh3 (PBE)

Data for a relaxed structure of AcSn3Rh3.

a b c (Å): 7.202 7.202 7.202
angles (deg): 90.00 90.00 90.00
Space group Pm-3n (No. 223)
Unique sites:
Ac  0.000  0.000  0.000 x2
Sn  0.000  0.250  0.500 x6
Rh  0.000  0.500  0.250 x6

## Properties
The value obtained for the energy above the most stable polymorph in this dataset is 166 meV per atom. For the energy of formation from the pure elements, the calculation gives -5.5 kcal/mol of atoms.



# 3
## Li4ZnH2 (PBE)

Data for a relaxed structure of Li4ZnH2.

a b c (Å): 5.016 5.016 10.015
angles (deg): 90.00 90.00 90.00
Space group I4/mmm (No. 139)
Unique sites:
Li  0.000  0.000  0.247 x4
Li  0.000  0.500  0.000 x4
Zn  0.000  0.000  0.500 x2
H  0.000  0.000  0.039 x4



# 4
## NiPd3Au4 (PBE)

Data for a relaxed structure of NiPd3Au4.

a b c (Å): 5.730 5.737 15.823
angles (deg): 90.00 90.00 90.00
Space group Fmmm (No. 69)
Unique sites:
Ni  0.000  0.000  0.000 x4
Pd  0.000  0.000  0.250 x8
Pd  0.000  0.000  0.500 x4
Au  0.250  0.250  0.122 x16

## Properties
For the energy of formation from the pure elements, the calculation gives -0.2 kcal/mol of atoms.



Going through the records in order, we get uncorrected energy values of -3.500; -5.691; -2.026; -4.317 eV/atom.